TlAs | PBE | relaxed

Values from the calculation:
Calculated formation energy = 269 meV per atom
Uncorrected energy = -25.908 eV for the cell shown
Fermi-level density of states = 0.049 states/eV/f.u.

a b c (Å): 8.741 7.813 7.499
angles (deg): 69.59 56.90 53.52
Positions (direct):
Tl1 0.041 0.709 0.041
Tl2 0.291 0.959 0.291
Tl3 0.709 0.041 0.709
Tl4 0.959 0.291 0.959
As1 0.034 0.034 0.716
As2 0.284 0.284 0.966
As3 0.716 0.716 0.034
As4 0.966 0.966 0.284